Record 1
{"formula": "NdErCd", "functional": "PBE", "state": "optimized geometry", "final_energy_ev_per_atom": -3.533, "formation_energy_ev_per_atom": -0.12, "dos_ef_per_ev_atom": 1.33, "spacegroup": "No. 38", "cell": [[3.534, 0.000, 0.000], [0.000, 3.485, 0.000], [0.000, 0.000, 28.706]], "species": ["Nd", "Nd", "Nd", "Nd", "Er", "Er", "Er", "Er", "Cd", "Cd", "Cd", "Cd"], "frac_coords": [[0.000, 0.000, 0.000], [0.000, 0.000, 0.156], [0.000, 0.500, 0.500], [0.000, 0.500, 0.656], [0.000, 0.000, 0.308], [0.000, 0.500, 0.808], [0.500, 0.000, 0.892], [0.500, 0.500, 0.392], [0.500, 0.000, 0.577], [0.500, 0.000, 0.736], [0.500, 0.500, 0.077], [0.500, 0.500, 0.236]]}

=====

Record 2
{"formula": "RbBa3S", "functional": "PBE", "state": "optimized geometry", "formation_energy_uncorrected_mev_per_atom": 714, "final_energy_ev_per_atom": -1.459, "dos_ef_per_ev_atom": 1.15, "spacegroup": "No. 221", "cell": [[6.591, 0.000, 0.000], [0.000, 6.591, 0.000], [0.000, 0.000, 6.591]], "species": ["Rb", "Ba", "Ba", "Ba", "S"], "frac_coords": [[0.000, 0.000, 0.000], [0.000, 0.000, 0.500], [0.000, 0.500, 0.000], [0.500, 0.000, 0.000], [0.500, 0.500, 0.500]]}

=====

Record 3
{"formula": "Ta3TlPt", "functional": "PBE", "state": "optimized geometry", "final_energy_ev_per_atom": -7.697, "formation_energy_ev_per_atom": 1.10, "dos_ef_per_ev_atom": 0.62, "spacegroup": "No. 221", "cell": [[4.913, 0.000, 0.000], [0.000, 4.913, 0.000], [0.000, 0.000, 4.913]], "species": ["Ta", "Ta", "Ta", "Tl", "Pt"], "frac_coords": [[0.000, 0.000, 0.500], [0.000, 0.500, 0.000], [0.500, 0.000, 0.000], [0.500, 0.500, 0.500], [0.000, 0.000, 0.000]]}

=====

Record 4
{"formula": "LiTl4Co", "functional": "PBE", "state": "optimized geometry", "final_energy_ev_per_atom": -2.464, "formation_energy_ev_per_atom": 0.62, "dos_ef_per_ev_atom": 0.66, "spacegroup": "No. 216", "cell": [[0.000, 4.415, 4.415], [4.415, 0.000, 4.415], [4.415, 4.415, 0.000]], "species": ["Li", "Tl", "Tl", "Tl", "Tl", "Co"], "frac_coords": [[0.000, 0.000, 0.000], [0.126, 0.625, 0.625], [0.625, 0.126, 0.625], [0.625, 0.625, 0.126], [0.625, 0.625, 0.625], [0.250, 0.250, 0.250]]}

=====

Record 5
{"formula": "LiBiB", "functional": "PBE", "state": "optimized geometry", "final_energy_ev_per_atom": -4.122, "formation_energy_ev_per_atom": 0.04, "dos_ef_per_ev_atom": 0.31, "spacegroup": "No. 12", "cell": [[13.785, 0.000, 0.000], [0.000, 3.202, 0.000], [-1.630, 0.000, 5.136]], "species": ["Li", "Li", "Li", "Li", "Bi", "Bi", "Bi", "Bi", "B", "B", "B", "B"], "frac_coords": [[0.102, 0.000, 0.243], [0.398, 0.500, 0.757], [0.602, 0.500, 0.243], [0.898, 0.000, 0.757], [0.101, 0.500, 0.742], [0.399, 0.000, 0.258], [0.601, 0.000, 0.742], [0.899, 0.500, 0.258], [0.233, 0.500, 0.506], [0.267, 0.000, 0.494], [0.733, 0.000, 0.506], [0.767, 0.500, 0.494]]}

=====

Record 6
{"formula": "Li8Mg3Hg3", "functional": "PBE", "state": "optimized geometry", "final_energy_ev_per_atom": -1.605, "formation_energy_ev_per_atom": -0.11, "dos_ef_per_ev_atom": 0.30, "spacegroup": "No. 71", "cell": [[-2.258, 3.951, 7.311], [2.258, -3.951, 7.311], [2.258, 3.951, -7.311]], "species": ["Li", "Li", "Li", "Li", "Li", "Li", "Li", "Li", "Mg", "Mg", "Mg", "Hg", "Hg", "Hg"], "frac_coords": [[0.055, 0.206, 0.849], [0.109, 0.369, 0.740], [0.356, 0.206, 0.151], [0.371, 0.631, 0.740], [0.629, 0.369, 0.260], [0.644, 0.794, 0.849], [0.891, 0.631, 0.260], [0.945, 0.794, 0.151], [0.233, 0.000, 0.233], [0.500, 0.500, 0.000], [0.767, 0.000, 0.767], [0.000, 0.500, 0.500], [0.330, 0.830, 0.500], [0.670, 0.170, 0.500]]}

=====

Record 7
{"formula": "Sn2PtRh2", "functional": "PBE", "state": "optimized geometry", "final_energy_ev_per_atom": -6.154, "formation_energy_ev_per_atom": -0.40, "dos_ef_per_ev_atom": 0.48, "spacegroup": "No. 36", "cell": [[2.094, -7.331, 0.000], [2.094, 7.331, 0.000], [0.000, 0.000, 5.688]], "species": ["Sn", "Sn", "Sn", "Sn", "Pt", "Pt", "Rh", "Rh", "Rh", "Rh"], "frac_coords": [[0.072, 0.928, 0.500], [0.295, 0.705, 0.658], [0.705, 0.295, 0.158], [0.928, 0.072, 0.000], [0.115, 0.885, 0.968], [0.885, 0.115, 0.468], [0.324, 0.676, 0.142], [0.480, 0.520, 0.745], [0.520, 0.480, 0.245], [0.676, 0.324, 0.642]]}

=====

Record 8
{"formula": "LiNdSn2", "functional": "PBE", "state": "optimized geometry", "final_energy_ev_per_atom": -4.237, "formation_energy_ev_per_atom": -0.56, "dos_ef_per_ev_atom": 0.25, "spacegroup": "No. 63", "cell": [[4.457, 0.000, 0.000], [0.000, 19.337, 0.000], [0.000, 0.000, 4.537]], "species": ["Li", "Li", "Li", "Li", "Nd", "Nd", "Nd", "Nd", "Sn", "Sn", "Sn", "Sn", "Sn", "Sn", "Sn", "Sn"], "frac_coords": [[0.000, 0.173, 0.250], [0.000, 0.827, 0.750], [0.500, 0.327, 0.750], [0.500, 0.673, 0.250], [0.000, 0.395, 0.250], [0.000, 0.605, 0.750], [0.500, 0.105, 0.750], [0.500, 0.895, 0.250], [0.000, 0.044, 0.250], [0.000, 0.249, 0.750], [0.000, 0.751, 0.250], [0.000, 0.956, 0.750], [0.500, 0.251, 0.250], [0.500, 0.456, 0.750], [0.500, 0.544, 0.250], [0.500, 0.749, 0.750]]}

=====

Record 9
{"formula": "LaSi2Br", "functional": "PBE", "state": "optimized geometry", "formation_energy_uncorrected_mev_per_atom": -256, "final_energy_ev_per_atom": -4.618, "dos_ef_per_ev_atom": 0.31, "spacegroup": "No. 10", "cell": [[4.534, 0.000, 0.000], [0.000, 4.361, 0.000], [-1.796, 0.000, 5.764]], "species": ["La", "Si", "Si", "Br"], "frac_coords": [[0.000, 0.000, 0.000], [0.499, 0.500, 0.817], [0.501, 0.500, 0.183], [0.000, 0.000, 0.500]]}

=====

Record 10
{"formula": "Rh2WAu", "functional": "PBE", "state": "optimized geometry", "final_energy_ev_per_atom": -7.687, "formation_energy_ev_per_atom": 0.05, "dos_ef_per_ev_atom": 0.92, "spacegroup": "No. 119", "cell": [[3.876, 0.000, 0.000], [0.000, 3.876, 0.000], [0.000, 0.000, 8.152]], "species": ["Rh", "Rh", "Rh", "Rh", "W", "W", "Au", "Au"], "frac_coords": [[0.000, 0.000, 0.000], [0.000, 0.500, 0.250], [0.500, 0.000, 0.750], [0.500, 0.500, 0.500], [0.000, 0.500, 0.750], [0.500, 0.000, 0.250], [0.000, 0.000, 0.500], [0.500, 0.500, 0.000]]}

=====

Record 11
{"formula": "TiZnBPd2", "functional": "PBE", "state": "optimized geometry", "final_energy_ev_per_atom": -4.541, "formation_energy_ev_per_atom": 0.71, "dos_ef_per_ev_atom": 1.06, "spacegroup": "No. 123", "cell": [[4.656, 0.000, 0.000], [0.000, 4.656, 0.000], [0.000, 0.000, 3.774]], "species": ["Ti", "Zn", "B", "Pd", "Pd"], "frac_coords": [[0.000, 0.000, 0.000], [0.500, 0.500, 0.500], [0.500, 0.500, 0.000], [0.000, 0.500, 0.500], [0.500, 0.000, 0.500]]}

=====

Record 12
{"formula": "Zr2ScZn", "functional": "PBE", "state": "optimized geometry", "final_energy_ev_per_atom": -6.299, "formation_energy_ev_per_atom": -0.12, "dos_ef_per_ev_atom": 0.83, "spacegroup": "No. 12", "cell": [[11.661, 0.000, 0.000], [0.000, 3.298, 0.000], [-2.046, 0.000, 4.448]], "species": ["Zr", "Zr", "Zr", "Zr", "Sc", "Sc", "Zn", "Zn"], "frac_coords": [[0.220, 0.000, 0.220], [0.280, 0.500, 0.780], [0.720, 0.500, 0.220], [0.780, 0.000, 0.780], [0.000, 0.000, 0.500], [0.500, 0.500, 0.500], [0.000, 0.500, 0.000], [0.500, 0.000, 0.000]]}